# BeW2Cl (GGA-PBE, optimized geometry)
# **E above lowest polymorph**: 2.24 eV per formula unit
# **Magnetization**: 0.00 Bohr magnetons per cell
# **E**: -7.00 eV/atom
# **ΔE_f (raw)**: 3.49 eV/f.u.
data_BeW2Cl
_cell_length_a 2.719
_cell_length_b 5.069
_cell_length_c 8.921
_cell_angle_alpha 90.00
_cell_angle_beta 90.00
_cell_angle_gamma 90.00
_space_group_name_H-M_alt 'I m m m'
_space_group_IT_number 71
_space_group_name_Hall '-I 2 2'
loop_
_atom_site_label
_atom_site_type_symbol
_atom_site_fract_x
_atom_site_fract_y
_atom_site_fract_z
_atom_site_occupancy
Be1 Be 0.000 0.000 0.000 1
W1 W 0.000 0.500 0.251 1
Cl1 Cl 0.000 0.000 0.500 1

# CsLiPuS3 (GGA-PBE, optimized geometry)
# **Magnetization**: 8.00 Bohr magnetons per cell
# **E**: -6.34 eV/atom
# **ΔE_f (raw)**: -8.54 eV/f.u.
data_CsLiPuS3
_cell_length_a 9.226
_cell_length_b 4.126
_cell_length_c 9.647
_cell_angle_alpha 90.00
_cell_angle_beta 110.90
_cell_angle_gamma 90.00
_space_group_name_H-M_alt 'P 1 21/m 1'
_space_group_IT_number 11
_space_group_name_Hall '-P 2yb'
loop_
_atom_site_label
_atom_site_type_symbol
_atom_site_fract_x
_atom_site_fract_y
_atom_site_fract_z
_atom_site_occupancy
Cs1 Cs 0.217 0.250 0.261 1
Li1 Li 0.080 0.250 0.597 1
Pu1 Pu 0.323 0.750 0.849 1
S1 S 0.142 0.250 0.865 1
S2 S 0.197 0.750 0.559 1
S3 S 0.480 0.750 0.146 1

# MgMnAlOs (GGA-PBE, optimized geometry)
# **Energy of formation**: -0.0504 eV per atom
# **Magnetization**: 13.03 Bohr magnetons per cell
# **E**: -6.48 eV/atom
data_MgMnAlOs
_cell_length_a 6.151
_cell_length_b 6.151
_cell_length_c 6.151
_cell_angle_alpha 90.00
_cell_angle_beta 90.00
_cell_angle_gamma 90.00
_space_group_name_H-M_alt 'F -4 3 m'
_space_group_IT_number 216
_space_group_name_Hall 'F -4 2 3'
loop_
_atom_site_label
_atom_site_type_symbol
_atom_site_fract_x
_atom_site_fract_y
_atom_site_fract_z
_atom_site_occupancy
Mg1 Mg 0.000 0.000 0.000 1
Mn1 Mn 0.250 0.250 0.250 1
Al1 Al 0.000 0.000 0.500 1
Os1 Os 0.250 0.250 0.750 1